[1]
A plane-wave DFT calculation with GGA-PBE was carried out for a geometry-optimized NdSmAlPd structure.

E_form: -0.555 eV/atom
energy above the most stable polymorph in this dataset: 0.000 eV/atom
calculated volume: 25.396 Å³/atom

The structure in extended XYZ format:
```
4
Lattice="-1.149 2.867 2.474 -4.245 -1.150 -0.639 0.907 -5.124 3.193" Properties=species:S:1:pos:R:3 pbc="T T T"
Nd -2.464 -1.731 4.026
Sm 0.096 -1.065 1.278
Al 0.289 -3.206 3.848
Pd -2.650 0.336 1.544
```


[2]
A plane-wave DFT calculation with GGA-PBE was carried out for a geometry-optimized Th6CoAu2 structure.

E_form: -0.302 eV/atom
calculated volume: 28.124 Å³/atom

The structure in extended XYZ format:
```
18
Lattice="6.438 0.000 0.091 0.000 7.640 0.000 -0.667 0.000 10.282" Properties=species:S:1:pos:R:3 pbc="T T T"
Th 5.362 7.400 2.664
Th 5.166 5.151 5.743
Th 4.871 5.348 9.828
Th 3.786 1.528 5.732
Th 3.491 1.331 9.817
Th 3.962 3.580 2.614
Th 0.409 0.240 7.709
Th 0.605 2.489 4.630
Th 0.900 2.292 0.545
Th 1.986 6.112 4.641
Th 2.281 6.309 0.556
Th 1.810 4.060 7.759
Co 3.219 3.820 0.046
Co -0.333 0.000 5.141
Au 5.354 2.974 7.922
Au 3.303 6.794 7.637
Au 2.468 0.846 2.736
Au 0.418 4.666 2.451
```


[3]
A plane-wave DFT calculation with GGA-PBE was carried out for a geometry-optimized In2CoHgBi structure.

E_form: 0.100 eV/atom
calculated volume: 25.747 Å³/atom

The structure in extended XYZ format:
```
5
Lattice="-3.903 1.583 2.749 -3.154 -1.461 -3.636 -0.350 -4.598 2.151" Properties=species:S:1:pos:R:3 pbc="T T T"
In -1.577 -0.730 -1.818
In -1.952 0.791 1.375
Co 0.000 0.000 0.000
Bi -0.175 -2.299 1.075
Hg -3.703 -2.238 0.632
```


[4]
A plane-wave DFT calculation with GGA-PBE was carried out for a geometry-optimized Sr2LiH structure.

energy above the most stable polymorph in this dataset: 0.105 eV/atom
calculated volume: 30.762 Å³/atom

The structure in extended XYZ format:
```
4
Lattice="4.042 0.000 0.000 2.021 3.500 0.000 2.021 1.167 8.697" Properties=species:S:1:pos:R:3 pbc="T T T"
Sr 2.021 1.167 7.109
Sr 2.021 1.167 1.580
Li 4.042 2.334 4.368
H 6.063 3.500 8.685
```


[5]
A plane-wave DFT calculation with GGA-PBE was carried out for a geometry-optimized Cs2Hg3Bi5 structure.

E_form: -0.166 eV/atom
calculated volume: 39.829 Å³/atom

The structure in extended XYZ format:
```
10
Lattice="-3.892 -4.187 -1.185 3.300 -1.804 -4.466 5.678 -7.300 7.144" Properties=species:S:1:pos:R:3 pbc="T T T"
Cs -0.487 -3.970 1.244
Cs 5.868 -6.325 3.075
Hg 4.779 -8.302 -0.748
Hg 0.010 -7.984 -0.584
Hg 2.839 -3.650 3.572
Bi -0.296 -2.995 -2.825
Bi 0.000 0.000 0.000
Bi 3.079 -8.554 5.730
Bi 2.303 -1.741 -1.411
Bi 2.543 -6.645 0.747
```


[6]
A plane-wave DFT calculation with GGA-PBE was carried out for a geometry-optimized RePt2Cl2 structure.

calculated volume: 18.043 Å³/atom
formation energy (no corrections): 1.081 eV/atom

The structure in extended XYZ format:
```
5
Lattice="-2.498 2.498 3.615 2.498 -2.498 3.615 2.498 2.498 -3.615" Properties=species:S:1:pos:R:3 pbc="T T T"
Re 0.000 0.000 0.000
Pt 2.498 0.000 1.807
Pt 0.000 2.498 1.807
Cl 0.000 0.000 4.976
Cl 0.000 0.000 2.254
```